1.
A relaxed ZnInNi2 crystal, computed with PBE-GGA.

Calculated values
Formation energy = 260 meV/atom
Raw total energy = -29.074 eV for the cell shown
SG = No. 122

Cell: 3.8723 3.8723 8.9962 Å, 77.57 77.57 90.00°
Atoms (fractional coordinates):
Ni 0.1743 0.6250 0.2500
Zn 0.2500 0.7500 0.5000
Ni 0.3750 0.4243 0.7500
Ni 0.8750 0.8257 0.7500
Zn 0.5000 0.5000 0.0000
In 0.0000 0.0000 0.0000
In 0.7500 0.2500 0.5000
Ni 0.5757 0.1250 0.2500

***

2.
A relaxed NaBeS3 crystal, computed with PBE-GGA.

Calculated values
Raw total energy = -10.856 eV for the cell shown
Formation energy from raw total energies = 1.3143 eV per atom
SG = No. 221
Energy relative to the lowest polymorph listed for this composition = 1392 meV per atom

Cell: 4.8896 4.8896 4.8896 Å, 90.00 90.00 90.00°
Atoms (fractional coordinates):
S 0.0000 0.0000 0.5000
Na 0.0000 0.0000 0.0000
Be 0.5000 0.5000 0.5000
S 0.0000 0.5000 0.0000
S 0.5000 0.0000 0.0000

***

no.,total magnetic moment (μB/atom)
1,0.00
2,0.57